BaHfMoF2 | Alexandria | PBE+U | relaxed; DFT total energy = -23.5 eV per cell
1.0
4.3783 0.0000 0.0000
0.0000 4.3783 0.0000
0.0000 0.0000 7.7880
Ba Hf Mo F
1 1 1 2
direct
0.0000 0.0000 0.0000
0.5000 0.5000 0.0000
0.0000 0.0000 0.5000
0.0000 0.5000 0.5000
0.5000 0.0000 0.5000